No. 1
# MgSc2GeBi (GGA-PBEsol, relaxed)
# calculated density	5.1	g/cm³
# total magnetic moment	0.00	μB per cell
# calculated total energy	-4.39	eV/atom
# density of states at the Fermi level	4.0	states/eV per cell
# energy of formation	0.44	eV per atom
# V	128	Å³/f.u.
data_MgSc2GeBi
_symmetry_space_group_name_H-M 'P 4/m m m'
_symmetry_Int_Tables_number 123
_symmetry_space_group_name_Hall '-P 4 2'
_cell_length_a 5.232
_cell_length_b 5.232
_cell_length_c 4.683
_cell_angle_alpha 90.00
_cell_angle_beta 90.00
_cell_angle_gamma 90.00
loop_
_atom_site_label
_atom_site_type_symbol
_atom_site_fract_x
_atom_site_fract_y
_atom_site_fract_z
Mg1 Mg 0.000 0.000 0.000
Sc1 Sc 0.000 0.500 0.000
Ge1 Ge 0.000 0.000 0.500
Bi1 Bi 0.500 0.500 0.500

No. 2
# Mg2GeBiSe (GGA-PBEsol, relaxed)
# calculated density	4.3	g/cm³
# total magnetic moment	0.04	μB per cell
# formation energy from raw total energies	0.614	eV per atom
# calculated total energy	-2.69	eV/atom
# density of states at the Fermi level	4.4	states/eV per cell
# V	159	Å³/f.u.
data_Mg2GeBiSe
_symmetry_space_group_name_H-M 'P 4/m m m'
_symmetry_Int_Tables_number 123
_symmetry_space_group_name_Hall '-P 4 2'
_cell_length_a 5.328
_cell_length_b 5.328
_cell_length_c 5.608
_cell_angle_alpha 90.00
_cell_angle_beta 90.00
_cell_angle_gamma 90.00
loop_
_atom_site_label
_atom_site_type_symbol
_atom_site_fract_x
_atom_site_fract_y
_atom_site_fract_z
Mg1 Mg 0.000 0.500 0.000
Ge1 Ge 0.000 0.000 0.500
Bi1 Bi 0.500 0.500 0.000
Se1 Se 0.500 0.500 0.500

No. 3
# Ge3BiN (GGA-PBEsol, relaxed)
# calculated density	4.4	g/cm³
# total magnetic moment	2.14	μB per cell
# formation energy from raw total energies	2.139	eV per atom
# calculated total energy	-3.39	eV/atom
# density of states at the Fermi level	4.3	states/eV per cell
# V	167	Å³/f.u.
data_Ge3BiN
_symmetry_space_group_name_H-M 'P m -3 m'
_symmetry_Int_Tables_number 221
_symmetry_space_group_name_Hall '-P 4 2 3'
_cell_length_a 5.503
_cell_length_b 5.503
_cell_length_c 5.503
_cell_angle_alpha 90.00
_cell_angle_beta 90.00
_cell_angle_gamma 90.00
loop_
_atom_site_label
_atom_site_type_symbol
_atom_site_fract_x
_atom_site_fract_y
_atom_site_fract_z
Ge1 Ge 0.000 0.000 0.500
Bi1 Bi 0.000 0.000 0.000
N1 N 0.500 0.500 0.500